(1)
11
Lattice="-2.3870 2.3870 17.0864 2.3870 -2.3870 17.0864 2.3870 2.3870 -17.0864" Properties=species:S:1:pos:R:3 comment="Pm2Nd6Tm3 PBE optimized geometry" total_energy_ev_per_cell=-48.314 dos_ef_per_ev_fu=16.01 pbc="T T T"
Pm 0.0000 0.0000 1.5395
Pm 0.0000 0.0000 32.6332
Nd 2.3870 0.0000 4.1584
Nd 0.0000 0.0000 7.0134
Nd 2.3870 0.0000 12.9280
Nd 0.0000 2.3870 4.1584
Nd 0.0000 0.0000 27.1593
Nd 0.0000 2.3870 12.9280
Tm 0.0000 0.0000 10.4315
Tm 0.0000 0.0000 17.0864
Tm 0.0000 0.0000 23.7412

(2)
5
Lattice="3.1141 -1.7972 0.0000 3.1141 1.7972 0.0000 -0.0117 0.0000 14.6872" Properties=species:S:1:pos:R:3 comment="PmNd2Tm2 PBE optimized geometry" total_energy_ev_per_cell=-23.086 dos_ef_per_ev_fu=6.83 pbc="T T T"
Pm 0.0000 0.0000 0.0000
Nd 2.0603 0.0000 8.9036
Nd 4.1563 0.0000 5.7836
Tm 2.0776 0.0000 2.8932
Tm 4.1389 0.0000 11.7940

(3)
4
Lattice="0.0000 4.0281 4.0281 4.0281 0.0000 4.0281 4.0281 4.0281 0.0000" Properties=species:S:1:pos:R:3 comment="PmNdTm2 PBE optimized geometry" total_energy_ev_per_cell=-18.068 dos_ef_per_ev_fu=6.76 pbc="T T T"
Pm 0.0000 0.0000 0.0000
Nd 4.0281 4.0281 4.0281
Tm 2.0141 2.0141 2.0141
Tm 6.0422 6.0422 6.0422

(4)
16
Lattice="7.3326 0.0000 0.0000 0.0000 7.3326 0.0000 0.0000 0.0000 10.3697" Properties=species:S:1:pos:R:3 comment="PmNd14Tm PBE optimized geometry" total_energy_ev_per_cell=-75.758 dos_ef_per_ev_fu=24.73 pbc="T T T"
Pm 0.0000 0.0000 0.0000
Nd 0.0000 0.0000 5.1848
Nd 0.0000 3.6663 0.0000
Nd 0.0000 3.6663 5.1848
Nd 1.8421 1.8421 2.5734
Nd 1.8421 1.8421 7.7963
Nd 1.8421 5.4905 2.5734
Nd 1.8421 5.4905 7.7963
Nd 3.6663 0.0000 0.0000
Nd 3.6663 0.0000 5.1848
Nd 3.6663 3.6663 5.1848
Nd 5.4905 1.8421 2.5734
Nd 5.4905 1.8421 7.7963
Nd 5.4905 5.4905 2.5734
Nd 5.4905 5.4905 7.7963
Tm 3.6663 3.6663 0.0000

(5)
18
Lattice="6.4176 -7.4544 0.0000 6.4176 7.4544 0.0000 -1.7974 0.0000 6.5151" Properties=species:S:1:pos:R:3 comment="Pm2Nd6Tm PBE optimized geometry" total_energy_ev_per_cell=-83.126 dos_ef_per_ev_fu=13.96 pbc="T T T"
Pm 1.1857 0.3139 2.3907
Pm 0.2870 -0.3139 5.6482
Pm 10.7509 0.3139 0.8669
Pm 9.8522 -0.3139 4.1245
Nd 1.7555 2.9079 4.6165
Nd 4.0977 4.6706 6.4117
Nd 6.0415 4.6706 3.3610
Nd 4.3649 1.4451 1.1869
Nd 2.6542 -2.9079 1.3590
Nd 3.4662 -1.4451 4.4445
Nd 7.5717 1.4451 2.0706
Nd 8.3837 2.9079 5.1562
Nd 6.6730 -1.4451 5.3282
Nd 4.9964 -4.6706 3.1541
Nd 6.9402 -4.6706 0.1034
Nd 9.2824 -2.9079 1.8986
Tm 5.0696 1.6603 4.8863
Tm 5.9683 -1.6603 1.6288

(6)
12
Lattice="5.9521 0.0000 0.0000 0.0000 3.6221 0.0000 -1.0839 0.0000 19.1954" Properties=species:S:1:pos:R:3 comment="Pm3Nd7Tm2 PBE optimized geometry" total_energy_ev_per_cell=-55.479 dos_ef_per_ev_fu=16.98 pbc="T T T"
Pm 0.0000 0.0000 0.0000
Pm 1.0040 1.8110 12.1670
Pm 3.8642 1.8110 7.0284
Nd 0.9227 1.8110 2.8038
Nd 0.9417 0.0000 8.9253
Nd 0.9992 0.0000 15.6749
Nd 2.9760 1.8110 0.0000
Nd 3.8690 0.0000 3.5205
Nd 3.9265 0.0000 10.2701
Nd 3.9455 1.8110 16.3915
Tm 0.9109 0.0000 5.6875
Tm 3.9573 0.0000 13.5079

(7)
14
Lattice="0.0000 12.1748 3.2392 6.0164 0.0000 3.2392 6.0164 12.1748 0.0000" Properties=species:S:1:pos:R:3 comment="PmNd4Tm2 PBE optimized geometry" total_energy_ev_per_cell=-64.673 dos_ef_per_ev_fu=10.45 pbc="T T T"
Pm 0.0000 0.0000 0.0000
Pm 3.0082 6.0874 1.6196
Nd 2.2066 2.5912 1.3846
Nd 5.2148 3.4962 3.0042
Nd 3.8099 9.5836 1.3846
Nd 6.6240 10.4427 3.1795
Nd 5.4089 13.9069 3.1795
Nd 8.4171 16.5301 4.7991
Nd 6.8181 20.8534 3.0042
Nd 9.6322 19.9943 4.7991
Tm 6.3240 6.9018 2.8464
Tm 8.7171 12.9892 4.4660
Tm 5.7089 17.4478 2.8464
Tm 3.3158 11.3604 4.4660

(8)
11
Lattice="9.7007 -3.5290 0.0000 9.7007 3.5290 0.0000 -0.3221 0.0000 5.6478" Properties=species:S:1:pos:R:3 comment="Pm8NdTm2 PBE optimized geometry" total_energy_ev_per_cell=-50.126 dos_ef_per_ev_fu=16.70 pbc="T T T"
Pm 0.7971 0.0000 1.3424
Pm 7.0164 1.8952 1.5177
Pm 5.7968 0.0000 4.3413
Pm 12.0629 1.8952 4.1302
Pm 7.0164 -1.8952 1.5177
Pm 13.2825 0.0000 1.3065
Pm 12.0629 -1.8952 4.1302
Pm 18.2822 0.0000 4.3054
Nd 9.7007 0.0000 0.0000
Tm 4.0952 0.0000 1.4327
Tm 14.9841 0.0000 4.2152